{
  "formula": "SrCuTc2",
  "functional": "PBE-GGA",
  "state": "optimized geometry",
  "lattice_angstrom": [[0.000, 3.267, 3.267], [3.267, 0.000, 3.267], [3.267, 3.267, 0.000]],
  "species": ["Sr", "Cu", "Tc", "Tc"],
  "fractional_positions": [[0.000, 0.000, 0.000], [0.250, 0.250, 0.250], [0.500, 0.500, 0.500], [0.750, 0.750, 0.750]],
  "volume_a3_per_fu": 69.7,
  "sg": "F-43m",
  "total_magnetization_mub_per_fu": 0.38
}


{
  "formula": "NiTeAs",
  "functional": "PBE-GGA",
  "state": "optimized geometry",
  "lattice_angstrom": [[-1.831, 2.839, 5.453], [1.831, -2.839, 5.453], [1.831, 2.839, -5.453]],
  "species": ["Ni", "Ni", "Te", "Te", "As", "As"],
  "fractional_positions": [[0.120, 0.120, 0.000], [0.880, 0.880, 0.000], [0.293, 0.793, 0.500], [0.707, 0.207, 0.500], [0.224, 0.500, 0.724], [0.776, 0.500, 0.276]],
  "volume_a3_per_fu": 56.7,
  "sg": "Immm",
  "total_magnetization_mub_per_fu": 0.00
}


Number 1: VASP energy -5.7743 eV per atom. Number 2: VASP energy -4.4543 eV per atom.